one.
DFT (GGA-PBE) results for a relaxed structure of CaGa3Cl.

Calculated values
As for the volume: 200 Å³ per cell. The calculation puts the density of states at the Fermi level at 6.328 states/eV/f.u.

Cell lengths 5.8436, 5.8436, 5.8436 Å; angles 90.00, 90.00, 90.00 degrees
With the nearest neighbours (Å) after each atom.
Fractional positions:
Ca  0.0000  0.0000  0.0000  6 Ga 2.92
Ga  0.0000  0.0000  0.5000  2 Ca 2.92
Ga  0.0000  0.5000  0.0000  2 Ca 2.92
Ga  0.5000  0.0000  0.0000  2 Ca 2.92
Cl  0.5000  0.5000  0.5000  12 Ga 4.13

two.
DFT (GGA-PBE) results for a relaxed structure of CaGa3Cl.

Calculated values
As for the volume: 143 Å³ per cell. The calculation puts the density of states at the Fermi level at 2.633 states/eV/f.u.

Cell lengths 5.2330, 5.2330, 5.2330 Å; angles 90.00, 90.00, 90.00 degrees
With the nearest neighbours (Å) after each atom.
Fractional positions:
Ca  0.0000  0.0000  0.0000  12 Ga 3.70
Ga  0.0000  0.5000  0.5000  2 Cl 2.62
Ga  0.5000  0.0000  0.5000  2 Cl 2.62
Ga  0.5000  0.5000  0.0000  2 Cl 2.62
Cl  0.5000  0.5000  0.5000  6 Ga 2.62

two takes first place; second place is 51.2 kJ/mol of atoms up.

one.
DFT (GGA-PBE) results for a relaxed structure of CaGaCl2.

Calculated values
As for the volume: 317 Å³ per cell. The calculation puts the density of states at the Fermi level at 1.530 states/eV/f.u.

Cell lengths 7.9483, 7.9483, 7.9483 Å; angles 126.01, 126.01, 79.87 degrees
With the nearest neighbours (Å) after each atom.
Fractional positions:
Ca  0.0000  0.0000  0.0000  4 Cl 2.63
Ca  0.7500  0.2500  0.5000  4 Cl 2.63
Ga  0.2500  0.7500  0.5000  4 Cl 3.41
Ga  0.5000  0.5000  0.0000  4 Cl 3.41
Cl  0.0341  0.6250  0.9091  2 Ca 2.63
Cl  0.3750  0.2841  0.4091  2 Ca 2.63
Cl  0.7159  0.1250  0.0909  2 Ca 2.63
Cl  0.8750  0.9659  0.5909  2 Ca 2.63

two.
DFT (GGA-PBE) results for a relaxed structure of CaGaCl2.

Calculated values
As for the volume: 95 Å³ per cell. The calculation puts the density of states at the Fermi level at 2.747 states/eV/f.u.

Cell lengths 5.1131, 5.1131, 5.1131 Å; angles 60.00, 60.00, 60.00 degrees
With the nearest neighbours (Å) after each atom.
Fractional positions:
Ca  0.0000  0.0000  0.0000  8 Cl 3.13
Ga  0.5000  0.5000  0.5000  8 Cl 3.13
Cl  0.2500  0.2500  0.2500  4 Ca 3.13, 4 Ga 3.13
Cl  0.7500  0.7500  0.7500  4 Ca 3.13, 4 Ga 3.13

one takes first place; second place is 4.6 kJ/mol of atoms up.

one.
DFT (GGA-PBE) results for a relaxed structure of CaGaP2Cl.

Calculated values
As for the volume: 159 Å³ per cell. The calculation puts the density of states at the Fermi level at 2.785 states/eV/f.u.

Cell lengths 5.4913, 5.4913, 5.2671 Å; angles 90.00, 90.00, 90.00 degrees
With the nearest neighbours (Å) after each atom.
Fractional positions:
Ca  0.0000  0.0000  0.0000  2 Cl 2.63, 4 P 2.75
Ga  0.5000  0.5000  0.5000  8 P 3.80, 4 Cl 3.88
P  0.0000  0.5000  0.0000  2 Ca 2.75
P  0.5000  0.0000  0.0000  2 Ca 2.75
Cl  0.0000  0.0000  0.5000  2 Ca 2.63

two.
DFT (GGA-PBE) results for a relaxed structure of CaGaP2Cl.

Calculated values
As for the volume: 117 Å³ per cell. The calculation puts the density of states at the Fermi level at 1.610 states/eV/f.u.

Cell lengths 4.6287, 4.6287, 5.4407 Å; angles 90.00, 90.00, 90.00 degrees
With the nearest neighbours (Å) after each atom.
Fractional positions:
Ca  0.0000  0.0000  0.0000  4 Cl 3.27, 8 P 3.57
Ga  0.5000  0.5000  0.5000  4 P 2.31
P  0.0000  0.5000  0.5000  2 Ga 2.31
P  0.5000  0.0000  0.5000  2 Ga 2.31
Cl  0.5000  0.5000  0.0000  2 Ga 2.72

two takes first place; second place is 54.9 kJ/mol of atoms up.

one.
DFT (GGA-PBE) results for a relaxed structure of CaGe2Cl6.

Calculated values
As for the volume: 566 Å³ per cell. The calculation puts the density of states at the Fermi level at 0.000 states/eV/f.u.

Cell lengths 7.1138, 6.7084, 13.7082 Å; angles 90.00, 120.16, 90.00 degrees
With the nearest neighbours (Å) after each atom.
Fractional positions:
Ca  0.0000  0.0000  0.0000  6 Cl 2.76-2.78
Ca  0.0000  0.5000  0.5000  6 Cl 2.76-2.78
Ge  0.3215  0.0481  0.8222  3 Cl 2.42-2.44
Ge  0.3215  0.4519  0.3222  3 Cl 2.42-2.44
Ge  0.6785  0.5481  0.6778  3 Cl 2.42-2.44
Ge  0.6785  0.9519  0.1778  3 Cl 2.42-2.44
Cl  0.0731  0.2393  0.8568  1 Ge 2.42
Cl  0.0731  0.2607  0.3568  1 Ge 2.42
Cl  0.3019  0.2278  0.1779  1 Ge 2.43
Cl  0.3019  0.2722  0.6779  1 Ge 2.43
Cl  0.3567  0.7131  0.5287  1 Ge 2.44
Cl  0.3567  0.7869  0.0287  1 Ge 2.44
Cl  0.6433  0.2131  0.9713  1 Ge 2.44
Cl  0.6433  0.2869  0.4713  1 Ge 2.44
Cl  0.6981  0.7278  0.3221  1 Ge 2.43
Cl  0.6981  0.7722  0.8221  1 Ge 2.43
Cl  0.9269  0.7393  0.6432  1 Ge 2.42
Cl  0.9269  0.7607  0.1432  1 Ge 2.42

two.
DFT (GGA-PBE) results for a relaxed structure of CaGe2Cl6.

Calculated values
As for the volume: 572 Å³ per cell. The calculation puts the density of states at the Fermi level at 0.000 states/eV/f.u.

Cell lengths 8.8892, 8.8892, 7.4758 Å; angles 97.67, 97.67, 98.50 degrees
With the nearest neighbours (Å) after each atom.
Fractional positions:
Ca  0.0751  0.9249  0.7500  6 Cl 2.77-2.79
Ca  0.9249  0.0751  0.2500  6 Cl 2.77-2.79
Ge  0.2310  0.4666  0.8070  2 Cl 2.36-2.37
Ge  0.4666  0.2310  0.3070  2 Cl 2.36-2.37
Ge  0.5334  0.7690  0.6930  2 Cl 2.36-2.37
Ge  0.7690  0.5334  0.1930  2 Cl 2.36-2.37
Cl  0.0396  0.6234  0.8249  1 Ge 2.36
Cl  0.0585  0.1947  0.6075  2 Ca 2.77-2.78, 1 Ge 2.78
Cl  0.1947  0.0585  0.1075  2 Ca 2.77-2.78, 1 Ge 2.78
Cl  0.2993  0.5387  0.5310  1 Ge 2.37
Cl  0.3766  0.9604  0.6751  1 Ge 2.36
Cl  0.4613  0.7007  0.9690  1 Ge 2.37
Cl  0.5387  0.2993  0.0310  1 Ge 2.37
Cl  0.6234  0.0396  0.3249  1 Ge 2.36
Cl  0.7007  0.4613  0.4690  1 Ge 2.37
Cl  0.8053  0.9415  0.8925  2 Ca 2.77-2.78, 1 Ge 2.78
Cl  0.9415  0.8053  0.3925  2 Ca 2.77-2.78, 1 Ge 2.78
Cl  0.9604  0.3766  0.1751  1 Ge 2.36

one takes first place; second place is 1.6 kJ/mol of atoms up.